[1]
Sc3CSF: optimized geometry, PBE-GGA.

The structure in CIF format:
```
data_Sc3CSF
_chemical_formula_sum 'Sc6 C2 S2 F2'
_cell_length_a 7.0809
_cell_length_b 3.4475
_cell_length_c 7.8825
_cell_angle_alpha 90.00
_cell_angle_beta 97.88
_cell_angle_gamma 90.00
_symmetry_space_group_name_H-M 'P 1 21/m 1'
_symmetry_Int_Tables_number 11
loop_
_symmetry_equiv_pos_as_xyz
'x,y,z'
'-x,-y,-z'
'-x,y+1/2,-z'
'x,-y+1/2,z'
loop_
_atom_site_label
_atom_site_fract_x
_atom_site_fract_y
_atom_site_fract_z
Sc1 0.0796 0.2500 0.3580
Sc2 0.2020 0.2500 0.9345
Sc3 0.3637 0.7500 0.6435
C1 0.1480 0.2500 0.6539
S1 0.3487 0.7500 0.3098
F1 0.3740 0.7500 0.9248
```

Values from the calculation:
Raw formation energy (meV/atom): -1705
Fermi-level density of states (states/eV per cell): 5.575


[2]
Sc8C3S4F: optimized geometry, PBE-GGA.

The structure in CIF format:
```
data_Sc8C3S4F
_chemical_formula_sum 'Sc24 C9 S12 F3'
_cell_length_a 6.9577
_cell_length_b 6.9577
_cell_length_c 17.5538
_cell_angle_alpha 90.00
_cell_angle_beta 90.00
_cell_angle_gamma 120.00
_symmetry_space_group_name_H-M 'R -3 m'
_symmetry_Int_Tables_number 166
_symmetry_space_group_name_Hall '-R 3 2"'
loop_
_atom_site_label
_atom_site_fract_x
_atom_site_fract_y
_atom_site_fract_z
Sc1 0.0000 0.0000 0.2367
Sc2 0.0214 0.5107 0.7616
C1 0.0000 0.5000 0.5000
S1 0.0000 0.0000 0.0000
S2 0.0000 0.5000 0.0000
F1 0.0000 0.0000 0.5000
```

Values from the calculation:
Raw formation energy (meV/atom): -1550
Fermi-level density of states (states/eV per cell): 10.791


[3]
ScCS2F: optimized geometry, PBE-GGA.

The structure in CIF format:
```
data_ScCS2F
_chemical_formula_sum 'Sc1 C1 S2 F1'
_cell_length_a 4.9593
_cell_length_b 4.9593
_cell_length_c 3.7613
_cell_angle_alpha 90.00
_cell_angle_beta 90.00
_cell_angle_gamma 90.00
_symmetry_space_group_name_H-M 'P 4/m m m'
_symmetry_Int_Tables_number 123
_symmetry_space_group_name_Hall '-P 4 2'
loop_
_atom_site_label
_atom_site_fract_x
_atom_site_fract_y
_atom_site_fract_z
Sc1 0.0000 0.0000 0.0000
C1 0.5000 0.5000 0.0000
S1 0.0000 0.5000 0.5000
F1 0.0000 0.0000 0.5000
```

Values from the calculation:
Raw formation energy (meV/atom): 729
Fermi-level density of states (states/eV per cell): 3.913


[4]
Sm8C3S4F: optimized geometry, PBE-GGA.

The structure in CIF format:
```
data_Sm8C3S4F
_chemical_formula_sum 'Sm24 C9 S12 F3'
_cell_length_a 7.6591
_cell_length_b 7.6591
_cell_length_c 19.3152
_cell_angle_alpha 90.00
_cell_angle_beta 90.00
_cell_angle_gamma 120.00
_symmetry_space_group_name_H-M 'R -3 m'
_symmetry_Int_Tables_number 166
_symmetry_space_group_name_Hall '-R 3 2"'
loop_
_atom_site_label
_atom_site_fract_x
_atom_site_fract_y
_atom_site_fract_z
Sm1 0.0000 0.0000 0.2394
Sm2 0.0159 0.5080 0.7596
C1 0.0000 0.5000 0.5000
S1 0.0000 0.0000 0.0000
S2 0.0000 0.5000 0.0000
F1 0.0000 0.0000 0.5000
```

Values from the calculation:
Raw formation energy (meV/atom): -1470
Fermi-level density of states (states/eV per cell): 9.901


[5]
Sr2CSF: optimized geometry, PBE-GGA.

The structure in CIF format:
```
data_Sr2CSF
_chemical_formula_sum 'Sr2 C1 S1 F1'
_cell_length_a 5.1173
_cell_length_b 5.1173
_cell_length_c 3.8559
_cell_angle_alpha 90.00
_cell_angle_beta 90.00
_cell_angle_gamma 90.00
_symmetry_space_group_name_H-M 'P 4/m m m'
_symmetry_Int_Tables_number 123
_symmetry_space_group_name_Hall '-P 4 2'
loop_
_atom_site_label
_atom_site_fract_x
_atom_site_fract_y
_atom_site_fract_z
Sr1 0.0000 0.5000 0.0000
C1 0.0000 0.0000 0.5000
S1 0.5000 0.5000 0.5000
F1 0.0000 0.0000 0.0000
```

Values from the calculation:
Raw formation energy (meV/atom): -668
Fermi-level density of states (states/eV per cell): 1.773


[6]
Zr2CSF: optimized geometry, PBE-GGA.

The structure in CIF format:
```
data_Zr2CSF
_chemical_formula_sum 'Zr2 C1 S1 F1'
_cell_length_a 4.3292
_cell_length_b 4.3292
_cell_length_c 4.4895
_cell_angle_alpha 90.00
_cell_angle_beta 90.00
_cell_angle_gamma 90.00
_symmetry_space_group_name_H-M 'P 4/m m m'
_symmetry_Int_Tables_number 123
_symmetry_space_group_name_Hall '-P 4 2'
loop_
_atom_site_label
_atom_site_fract_x
_atom_site_fract_y
_atom_site_fract_z
Zr1 0.0000 0.5000 0.0000
C1 0.0000 0.0000 0.5000
S1 0.5000 0.5000 0.5000
F1 0.5000 0.5000 0.0000
```

Values from the calculation:
Raw formation energy (meV/atom): 479
Fermi-level density of states (states/eV per cell): 4.534


[7]
SbC2F: optimized geometry, PBE-GGA.

The structure in CIF format:
```
data_SbC2F
_chemical_formula_sum 'Sb4 C8 F4'
_cell_length_a 4.7172
_cell_length_b 4.7172
_cell_length_c 11.1150
_cell_angle_alpha 90.00
_cell_angle_beta 90.00
_cell_angle_gamma 90.00
_symmetry_space_group_name_H-M 'I -4 2 d'
_symmetry_Int_Tables_number 122
_symmetry_space_group_name_Hall 'I -4 2bw'
loop_
_atom_site_label
_atom_site_fract_x
_atom_site_fract_y
_atom_site_fract_z
Sb1 0.0000 0.0000 0.0000
C1 0.2347 0.2500 0.6250
F1 0.0000 0.0000 0.5000
```

Values from the calculation:
Raw formation energy (meV/atom): 1896
Energy above the lowest structure with this stoichiometry (meV/atom): 148
Fermi-level density of states (states/eV per cell): 4.780


[8]
SbCF3: optimized geometry, PBE-GGA.

The structure in CIF format:
```
data_SbCF3
_chemical_formula_sum 'Sb1 C1 F3'
_cell_length_a 4.0430
_cell_length_b 4.0430
_cell_length_c 4.0430
_cell_angle_alpha 90.00
_cell_angle_beta 90.00
_cell_angle_gamma 90.00
_symmetry_space_group_name_H-M 'P m -3 m'
_symmetry_Int_Tables_number 221
_symmetry_space_group_name_Hall '-P 4 2 3'
loop_
_atom_site_label
_atom_site_fract_x
_atom_site_fract_y
_atom_site_fract_z
Sb1 0.0000 0.0000 0.0000
C1 0.5000 0.5000 0.5000
F1 0.0000 0.5000 0.5000
```

Values from the calculation:
Raw formation energy (meV/atom): 219
Energy above the lowest structure with this stoichiometry (meV/atom): 474
Fermi-level density of states (states/eV per cell): 2.721